Entry 1:
# RbH6I2N | Alexandria | PBE | optimized geometry
data_RbH6I2N
_chemical_formula_sum 'Rb3 H18 I6 N3'
_space_group_name_H-M_alt 'R 3'
_space_group_IT_number 146
_space_group_name_Hall 'R 3'
_cell_length_a 5.2102
_cell_length_b 5.2102
_cell_length_c 30.2322
_cell_angle_alpha 90.00
_cell_angle_beta 90.00
_cell_angle_gamma 120.00
loop_
_atom_site_label
_atom_site_type_symbol
_atom_site_fract_x
_atom_site_fract_y
_atom_site_fract_z
Rb1 Rb 0.0000 0.0000 0.0000
H1 H 0.1056 0.8917 0.5383
H2 H 0.1243 0.0622 0.1325
I1 I 0.0000 0.0000 0.2827
I2 I 0.0000 0.0000 0.7877
N1 N 0.0000 0.0000 0.5490
# raw total energy	-3.467	eV per atom


Entry 2:
# CrTc2Pb | Alexandria | PBE | optimized geometry
data_CrTc2Pb
_chemical_formula_sum 'Cr3 Tc6 Pb3'
_space_group_name_H-M_alt 'R -3 m'
_space_group_IT_number 166
_space_group_name_Hall '-R 3 2"'
_cell_length_a 2.9719
_cell_length_b 2.9719
_cell_length_c 26.4555
_cell_angle_alpha 90.00
_cell_angle_beta 90.00
_cell_angle_gamma 120.00
loop_
_atom_site_label
_atom_site_type_symbol
_atom_site_fract_x
_atom_site_fract_y
_atom_site_fract_z
Cr1 Cr 0.0000 0.0000 0.0000
Tc1 Tc 0.0000 0.0000 0.2647
Pb1 Pb 0.0000 0.0000 0.5000
# raw total energy	-7.936	eV per atom
# distance to the lowest polymorph of the same formula	117.7	meV/atom
# formation enthalpy at 0 K	0.5804	eV/atom


Entry 3:
# MnCo3Si | Alexandria | PBE | optimized geometry
data_MnCo3Si
_chemical_formula_sum 'Mn1 Co3 Si1'
_space_group_name_H-M_alt 'P m -3 m'
_space_group_IT_number 221
_space_group_name_Hall '-P 4 2 3'
_cell_length_a 4.1096
_cell_length_b 4.1096
_cell_length_c 4.1096
_cell_angle_alpha 90.00
_cell_angle_beta 90.00
_cell_angle_gamma 90.00
loop_
_atom_site_label
_atom_site_type_symbol
_atom_site_fract_x
_atom_site_fract_y
_atom_site_fract_z
Mn1 Mn 0.0000 0.0000 0.0000
Co1 Co 0.0000 0.5000 0.5000
Si1 Si 0.5000 0.5000 0.5000
# uncorrected formation energy	1.00	eV per atom
# raw total energy	-6.187	eV per atom
# distance to the lowest polymorph of the same formula	0.0	meV/atom


Entry 4:
# MgBi3Pb6 | Alexandria | PBE | optimized geometry
data_MgBi3Pb6
_chemical_formula_sum 'Mg2 Bi6 Pb12'
_space_group_name_H-M_alt 'P 1 21/c 1'
_space_group_IT_number 14
_space_group_name_Hall '-P 2ybc'
_cell_length_a 5.7752
_cell_length_b 10.1651
_cell_length_c 12.4107
_cell_angle_alpha 90.00
_cell_angle_beta 115.42
_cell_angle_gamma 90.00
loop_
_atom_site_label
_atom_site_type_symbol
_atom_site_fract_x
_atom_site_fract_y
_atom_site_fract_z
Mg1 Mg 0.0000 0.0000 0.0000
Bi1 Bi 0.4833 0.0852 0.2321
Bi2 Bi 0.5000 0.0000 0.5000
Pb1 Pb 0.0710 0.1799 0.5529
Pb2 Pb 0.1295 0.6708 0.7356
Pb3 Pb 0.4822 0.1616 0.9484
# raw total energy	-3.490	eV per atom
# formation enthalpy at 0 K	0.0590	eV/atom


Entry 5:
# Zn2RhN | Alexandria | PBE | optimized geometry
data_Zn2RhN
_chemical_formula_sum 'Zn6 Rh3 N3'
_space_group_name_H-M_alt 'R -3 m'
_space_group_IT_number 166
_space_group_name_Hall '-R 3 2"'
_cell_length_a 2.9211
_cell_length_b 2.9211
_cell_length_c 22.1662
_cell_angle_alpha 90.00
_cell_angle_beta 90.00
_cell_angle_gamma 120.00
loop_
_atom_site_label
_atom_site_type_symbol
_atom_site_fract_x
_atom_site_fract_y
_atom_site_fract_z
Zn1 Zn 0.0000 0.0000 0.1128
Rh1 Rh 0.0000 0.0000 0.0000
N1 N 0.0000 0.0000 0.5000
# uncorrected formation energy	0.48	eV per atom
# raw total energy	-4.077	eV per atom


Entry 6:
# SiBiP | Alexandria | PBE | optimized geometry
data_SiBiP
_chemical_formula_sum 'Si4 Bi4 P4'
_space_group_name_H-M_alt 'C 1 c 1'
_space_group_IT_number 9
_space_group_name_Hall 'C -2yc'
_cell_length_a 15.5035
_cell_length_b 3.4388
_cell_length_c 6.1851
_cell_angle_alpha 90.00
_cell_angle_beta 107.79
_cell_angle_gamma 90.00
loop_
_atom_site_label
_atom_site_type_symbol
_atom_site_fract_x
_atom_site_fract_y
_atom_site_fract_z
Si1 Si 0.0000 0.2348 0.0000
Bi1 Bi 0.1862 0.1671 0.1436
P1 P 0.4297 0.2361 0.7761
# uncorrected formation energy	-0.05	eV per atom
# raw total energy	-4.959	eV per atom
# distance to the lowest polymorph of the same formula	0.0	meV/atom


Entry 7:
# Tc2HgF7 | Alexandria | PBE | optimized geometry
data_Tc2HgF7
_chemical_formula_sum 'Tc4 Hg2 F14'
_space_group_name_H-M_alt 'C m m m'
_space_group_IT_number 65
_space_group_name_Hall '-C 2 2'
_cell_length_a 8.1981
_cell_length_b 14.5781
_cell_length_c 2.8125
_cell_angle_alpha 90.00
_cell_angle_beta 90.00
_cell_angle_gamma 90.00
loop_
_atom_site_label
_atom_site_type_symbol
_atom_site_fract_x
_atom_site_fract_y
_atom_site_fract_z
Tc1 Tc 0.0000 0.1398 0.0000
Hg1 Hg 0.0000 0.5000 0.5000
F1 F 0.0000 0.0000 0.0000
F2 F 0.0000 0.2409 0.5000
F3 F 0.2325 0.1347 0.0000
# uncorrected formation energy	-1.57	eV per atom
# raw total energy	-4.985	eV per atom


Entry 8:
# K5Ba3F12 | Alexandria | PBE | optimized geometry
data_K5Ba3F12
_chemical_formula_sum 'K40 Ba24 F96'
_space_group_name_H-M_alt 'I a -3 d'
_space_group_IT_number 230
_space_group_name_Hall '-I 4bd 2c 3'
_cell_length_a 15.2758
_cell_length_b 15.2758
_cell_length_c 15.2758
_cell_angle_alpha 90.00
_cell_angle_beta 90.00
_cell_angle_gamma 90.00
loop_
_atom_site_label
_atom_site_type_symbol
_atom_site_fract_x
_atom_site_fract_y
_atom_site_fract_z
K1 K 0.0000 0.0000 0.0000
K2 K 0.0000 0.2500 0.3750
Ba1 Ba 0.0000 0.2500 0.1250
F1 F 0.0152 0.0749 0.6568
# uncorrected formation energy	-3.03	eV per atom
# raw total energy	-4.715	eV per atom


Question: Among the records above, which one has the highest raw total energy?
Answer: RbH6I2N


Question: What is the formula in the fourth record?
Answer: MgBi3Pb6


Please write out number 6 again, unchanged.
# SiBiP | Alexandria | PBE | optimized geometry
data_SiBiP
_chemical_formula_sum 'Si4 Bi4 P4'
_space_group_name_H-M_alt 'C 1 c 1'
_space_group_IT_number 9
_space_group_name_Hall 'C -2yc'
_cell_length_a 15.5035
_cell_length_b 3.4388
_cell_length_c 6.1851
_cell_angle_alpha 90.00
_cell_angle_beta 107.79
_cell_angle_gamma 90.00
loop_
_atom_site_label
_atom_site_type_symbol
_atom_site_fract_x
_atom_site_fract_y
_atom_site_fract_z
Si1 Si 0.0000 0.2348 0.0000
Bi1 Bi 0.1862 0.1671 0.1436
P1 P 0.4297 0.2361 0.7761
# uncorrected formation energy	-0.05	eV per atom
# raw total energy	-4.959	eV per atom
# distance to the lowest polymorph of the same formula	0.0	meV/atom


Question: Look up the raw total energy of the fifth one.
Answer: -4.077 eV per atom